A plane-wave DFT calculation with GGA-PBE was carried out for a geometry-optimized Ac6Hg3Ir2Se structure.

Unit cell a=7.6789 b=7.6789 c=8.4160 alpha=98.61 beta=98.61 gamma=119.77
With the nearest neighbours (Å) after each atom.
Element x y z (fractional)
Ac: 0.0739 0.4284 0.7859  2 Ir 3.01, 1 Se 3.23
Ac: 0.2139 0.2139 0.2021  2 Ir 2.99, 1 Se 3.16
Ac: 0.4284 0.0739 0.7859  2 Ir 3.01, 1 Se 3.23
Ac: 0.5716 0.9261 0.2141  2 Ir 3.01, 1 Se 3.23
Ac: 0.7861 0.7861 0.7979  2 Ir 2.99, 1 Se 3.16
Ac: 0.9261 0.5716 0.2141  2 Ir 3.01, 1 Se 3.23
Hg: 0.0000 0.0000 0.5000  6 Ac 3.39-3.51
Hg: 0.3514 0.6486 0.5000  6 Ac 3.43-3.52
Hg: 0.6486 0.3514 0.5000  6 Ac 3.43-3.52
Ir: 0.1684 0.8316 0.0000  6 Ac 2.99-3.01
Ir: 0.8316 0.1684 0.0000  6 Ac 2.99-3.01
Se: 0.5000 0.5000 0.0000  6 Ac 3.16-3.23

Output
Mass density   9.803 g cm⁻³
Size of the total moment   0.00 μB/f.u.
Space group   C2/m (12)
Electronic total energy   -4.665 eV/atom

=====

A plane-wave DFT calculation with GGA-PBE was carried out for a geometry-optimized Ac4HgIrSe2 structure.

Unit cell a=7.7288 b=4.4153 c=8.1857 alpha=90.00 beta=107.49 gamma=90.00
With the nearest neighbours (Å) after each atom.
Element x y z (fractional)
Ac: 0.2302 0.0000 0.2290  2 Ir 3.09, 1 Hg 3.20, 3 Se 3.23-3.37
Ac: 0.2299 0.5000 0.7624  1 Ir 3.00, 2 Se 3.22, 2 Hg 3.25
Ac: 0.7698 0.0000 0.7710  2 Ir 3.09, 1 Hg 3.20, 3 Se 3.23-3.37
Ac: 0.7701 0.5000 0.2376  1 Ir 3.00, 2 Se 3.22, 2 Hg 3.25
Hg: 0.5000 0.0000 0.0000  6 Ac 3.20-3.25
Ir: 0.0000 0.5000 0.0000  6 Ac 3.00-3.09
Se: 0.0000 0.0000 0.5000  6 Ac 3.22-3.23
Se: 0.5000 0.5000 0.5000  6 Ac 3.37-3.42

Output
Mass density   9.092 g cm⁻³
Size of the total moment   0.00 μB/f.u.
Space group   P2/m (10)
Electronic total energy   -5.233 eV/atom

=====

A plane-wave DFT calculation with GGA-PBE was carried out for a geometry-optimized Ac2SnHgIr structure.

Unit cell a=8.2473 b=4.6267 c=8.4066 alpha=90.00 beta=112.16 gamma=90.00
With the nearest neighbours (Å) after each atom.
Element x y z (fractional)
Ac: 0.0318 0.2500 0.2224  3 Ir 3.06-3.19
Ac: 0.3375 0.7500 0.6124  3 Ir 3.05-3.40
Ac: 0.6625 0.2500 0.3876  3 Ir 3.05-3.40
Ac: 0.9682 0.7500 0.7776  3 Ir 3.06-3.19
Sn: 0.3403 0.2500 0.9494  1 Ir 2.72
Sn: 0.6597 0.7500 0.0506  1 Ir 2.72
Hg: 0.3237 0.7500 0.1899  3 Sn 3.11-3.39, 2 Ac 3.42
Hg: 0.6763 0.2500 0.8101  3 Sn 3.11-3.39, 2 Ac 3.42
Ir: 0.1005 0.2500 0.6217  1 Sn 2.72
Ir: 0.8995 0.7500 0.3783  1 Sn 2.72

Output
Mass density   10.793 g cm⁻³
Size of the total moment   0.00 μB/f.u.
E_form   -0.5967 eV per atom
Space group   P2_1/m (11)
Electronic total energy   -4.873 eV/atom

=====

A plane-wave DFT calculation with GGA-PBE was carried out for a geometry-optimized Ac2Sn4HgIr3 structure.

Unit cell a=4.6929 b=4.6929 c=10.9748 alpha=90.00 beta=90.00 gamma=90.00
With the nearest neighbours (Å) after each atom.
Element x y z (fractional)
Ac: 0.0000 0.5000 0.2455  8 Sn 3.55-3.57, 6 Ir 3.58-3.65, 2 Hg 3.65
Ac: 0.5000 0.0000 0.7545  8 Sn 3.55-3.57, 6 Ir 3.58-3.65, 2 Hg 3.65
Sn: 0.0000 0.0000 0.0000  4 Ir 2.71
Sn: 0.0000 0.5000 0.6387  3 Ir 2.61-2.80, 2 Hg 2.80
Sn: 0.5000 0.0000 0.3613  3 Ir 2.61-2.80, 2 Hg 2.80
Sn: 0.5000 0.5000 0.0000  4 Ir 2.71
Hg: 0.0000 0.0000 0.5000  4 Sn 2.80
Ir: 0.0000 0.5000 0.8769  5 Sn 2.61-2.71
Ir: 0.5000 0.0000 0.1231  5 Sn 2.61-2.71
Ir: 0.5000 0.5000 0.5000  4 Sn 2.80

Output
Mass density   11.721 g cm⁻³
Size of the total moment   0.00 μB/f.u.
E_form   -0.4970 eV per atom
Space group   P-4m2 (115)
Electronic total energy   -5.608 eV/atom

=====

A plane-wave DFT calculation with GGA-PBE was carried out for a geometry-optimized Ac2Sn3HgIr4 structure.

Unit cell a=4.5004 b=4.5004 c=11.3803 alpha=90.00 beta=90.00 gamma=90.00
With the nearest neighbours (Å) after each atom.
Element x y z (fractional)
Ac: 0.0000 0.5000 0.2485  8 Ir 3.40-3.64, 6 Sn 3.49-3.61, 2 Hg 3.61
Ac: 0.5000 0.0000 0.7515  8 Ir 3.40-3.64, 6 Sn 3.49-3.61, 2 Hg 3.61
Sn: 0.0000 0.0000 0.0000  4 Ir 2.78
Sn: 0.0000 0.5000 0.6252  5 Ir 2.63-2.66
Sn: 0.5000 0.0000 0.3748  5 Ir 2.63-2.66
Hg: 0.5000 0.5000 0.0000  4 Ir 2.78
Ir: 0.0000 0.0000 0.5000  4 Sn 2.66
Ir: 0.0000 0.5000 0.8566  3 Sn 2.63-2.78, 2 Hg 2.78
Ir: 0.5000 0.0000 0.1434  3 Sn 2.63-2.78, 2 Hg 2.78
Ir: 0.5000 0.5000 0.5000  4 Sn 2.66

Output
Mass density   12.821 g cm⁻³
Size of the total moment   0.00 μB/f.u.
E_form   -0.4675 eV per atom
Space group   P-4m2 (115)
Electronic total energy   -6.065 eV/atom

=====

A plane-wave DFT calculation with GGA-PBE was carried out for a geometry-optimized Ac6HgTe3Ir2 structure.

Unit cell a=10.5240 b=10.5240 c=9.6905 alpha=106.95 beta=106.95 gamma=24.53
With the nearest neighbours (Å) after each atom.
Element x y z (fractional)
Ac: 0.0178 0.0178 0.2569  1 Ir 2.96, 2 Hg 3.28
Ac: 0.3218 0.3218 0.4391  3 Ir 3.02-3.09
Ac: 0.3301 0.3301 0.8792  2 Ir 3.06, 1 Hg 3.34, 1 Te 3.39
Ac: 0.6699 0.6699 0.1208  2 Ir 3.06, 1 Hg 3.34, 1 Te 3.39
Ac: 0.6782 0.6782 0.5609  3 Ir 3.02-3.09
Ac: 0.9822 0.9822 0.7431  1 Ir 2.96, 2 Hg 3.28
Hg: 0.5000 0.5000 0.0000  6 Ac 3.28-3.34
Te: 0.1604 0.1604 0.8335  6 Ac 3.39-3.56
Te: 0.5000 0.5000 0.5000  6 Ac 3.35-3.53
Te: 0.8396 0.8396 0.1665  6 Ac 3.39-3.56
Ir: 0.1682 0.1682 0.3348  6 Ac 2.96-3.09
Ir: 0.8318 0.8318 0.6652  6 Ac 2.96-3.09

Output
Mass density   9.098 g cm⁻³
Size of the total moment   0.00 μB/f.u.
Space group   C2/m (12)
Electronic total energy   -5.397 eV/atom

=====

A plane-wave DFT calculation with GGA-PBE was carried out for a geometry-optimized Ac8Hg4TeIr3 structure.

Unit cell a=9.5880 b=9.5880 c=9.5880 alpha=55.92 beta=55.92 gamma=55.92
With the nearest neighbours (Å) after each atom.
Element x y z (fractional)
Ac: 0.2083 0.7512 0.7512  2 Ir 3.02, 1 Te 3.29, 1 Hg 3.33
Ac: 0.2336 0.2336 0.2336  3 Ir 3.06
Ac: 0.2488 0.2488 0.7917  2 Ir 3.02, 1 Te 3.29, 1 Hg 3.33
Ac: 0.2488 0.7917 0.2488  2 Ir 3.02, 1 Te 3.29, 1 Hg 3.33
Ac: 0.7512 0.2083 0.7512  2 Ir 3.02, 1 Te 3.29, 1 Hg 3.33
Ac: 0.7512 0.7512 0.2083  2 Ir 3.02, 1 Te 3.29, 1 Hg 3.33
Ac: 0.7664 0.7664 0.7664  3 Ir 3.06
Ac: 0.7917 0.2488 0.2488  2 Ir 3.02, 1 Te 3.29, 1 Hg 3.33
Hg: 0.0000 0.0000 0.0000  6 Ac 3.33
Hg: 0.0000 0.5000 0.5000  6 Ac 3.54-3.58
Hg: 0.5000 0.0000 0.5000  6 Ac 3.54-3.58
Hg: 0.5000 0.5000 0.0000  6 Ac 3.54-3.58
Te: 0.5000 0.5000 0.5000  6 Ac 3.29
Ir: 0.0000 0.0000 0.5000  6 Ac 3.02-3.06
Ir: 0.0000 0.5000 0.0000  6 Ac 3.02-3.06
Ir: 0.5000 0.0000 0.0000  6 Ac 3.02-3.06

Output
Mass density   9.776 g cm⁻³
Size of the total moment   0.00 μB/f.u.
Space group   R-3m (166)
Electronic total energy   -4.634 eV/atom

=====

A plane-wave DFT calculation with GGA-PBE was carried out for a geometry-optimized Ac2TlHgIr structure.

Unit cell a=8.6273 b=4.3811 c=9.1732 alpha=90.00 beta=103.21 gamma=90.00
With the nearest neighbours (Å) after each atom.
Element x y z (fractional)
Ac: 0.1521 0.2500 0.3765  2 Ir 2.91
Ac: 0.1908 0.2500 0.9575  3 Ir 2.98-3.07
Ac: 0.8092 0.7500 0.0425  3 Ir 2.98-3.07
Ac: 0.8479 0.7500 0.6235  2 Ir 2.91
Tl: 0.4859 0.7500 0.3305  1 Ir 2.78
Tl: 0.5141 0.2500 0.6695  1 Ir 2.78
Hg: 0.2604 0.7500 0.6803  2 Tl 3.11, 1 Ac 3.48
Hg: 0.7396 0.2500 0.3197  2 Tl 3.11, 1 Ac 3.48
Ir: 0.1702 0.7500 0.1724  1 Tl 2.78, 5 Ac 2.91-3.07
Ir: 0.8298 0.2500 0.8276  1 Tl 2.78, 5 Ac 2.91-3.07

Output
Mass density   10.343 g cm⁻³
Size of the total moment   0.00 μB/f.u.
E_form   -0.4458 eV per atom
Space group   P2_1/m (11)
Electronic total energy   -4.395 eV/atom

=====

A plane-wave DFT calculation with GGA-PBE was carried out for a geometry-optimized AcYHgIr structure.

Unit cell a=8.0847 b=8.0847 c=8.0847 alpha=30.51 beta=30.51 gamma=30.51
With the nearest neighbours (Å) after each atom.
Element x y z (fractional)
Ac: 0.0000 0.0000 0.0000  3 Ir 2.95
Y: 0.7986 0.7986 0.7986  3 Ir 2.83
Hg: 0.2239 0.2239 0.2239  3 Y 3.25, 3 Ac 3.53
Ir: 0.4044 0.4044 0.4044  3 Y 2.83, 3 Ac 2.95

Output
Mass density   9.747 g cm⁻³
Size of the total moment   0.00 μB/f.u.
E_form   -0.5668 eV per atom
Space group   R3m (160)
Electronic total energy   -5.501 eV/atom
Energy above the lowest structure with this stoichiometry   0.0 meV per atom

=====

A plane-wave DFT calculation with GGA-PBE was carried out for a geometry-optimized AcYHgIr structure.

Unit cell a=5.2766 b=5.2766 c=5.2766 alpha=60.00 beta=60.00 gamma=60.00
With the nearest neighbours (Å) after each atom.
Element x y z (fractional)
Ac: 0.0000 0.0000 0.0000  4 Ir 3.23, 4 Hg 3.23
Y: 0.5000 0.5000 0.5000  4 Ir 3.23, 4 Hg 3.23
Hg: 0.2500 0.2500 0.2500  4 Ac 3.23, 4 Y 3.23
Ir: 0.7500 0.7500 0.7500  4 Ac 3.23, 4 Y 3.23

Output
Mass density   11.329 g cm⁻³
Size of the total moment   0.00 μB/f.u.
E_form   -0.4543 eV per atom
Space group   F-43m (216)
Electronic total energy   -5.388 eV/atom
Energy above the lowest structure with this stoichiometry   112.5 meV per atom

=====

A plane-wave DFT calculation with GGA-PBE was carried out for a geometry-optimized Ac2ZnHgIr structure.

Unit cell a=7.9335 b=4.5040 c=8.4910 alpha=90.00 beta=110.07 gamma=90.00
With the nearest neighbours (Å) after each atom.
Element x y z (fractional)
Ac: 0.1442 0.2500 0.3485  2 Ir 3.05, 2 Zn 3.40
Ac: 0.2713 0.2500 0.9541  3 Ir 2.98-3.04
Ac: 0.7287 0.7500 0.0459  3 Ir 2.98-3.04
Ac: 0.8558 0.7500 0.6515  2 Ir 3.05, 2 Zn 3.40
Zn: 0.4487 0.7500 0.3106  1 Ir 2.55, 2 Hg 2.84
Zn: 0.5513 0.2500 0.6894  1 Ir 2.55, 2 Hg 2.84
Hg: 0.3249 0.7500 0.6649  2 Zn 2.84
Hg: 0.6751 0.2500 0.3351  2 Zn 2.84
Ir: 0.1282 0.7500 0.1011  1 Zn 2.55
Ir: 0.8718 0.2500 0.8989  1 Zn 2.55

Output
Mass density   10.631 g cm⁻³
Size of the total moment   0.00 μB/f.u.
E_form   -0.4987 eV per atom
Space group   P2_1/m (11)
Electronic total energy   -4.229 eV/atom

=====

A plane-wave DFT calculation with GGA-PBE was carried out for a geometry-optimized KAc2Hg3 structure.

Unit cell a=4.0623 b=4.0623 c=12.5916 alpha=90.00 beta=90.00 gamma=90.00
With the nearest neighbours (Å) after each atom.
Element x y z (fractional)
K: 0.0000 0.0000 0.0000  8 Hg 3.76, 4 K 4.06
Ac: 0.0000 0.0000 0.3397  8 Hg 3.42-3.51
Ac: 0.0000 0.0000 0.6603  8 Hg 3.42-3.51
Hg: 0.5000 0.5000 0.1921  4 Ac 3.42, 4 K 3.76
Hg: 0.5000 0.5000 0.5000  8 Ac 3.51, 2 Hg 3.88
Hg: 0.5000 0.5000 0.8079  4 Ac 3.42, 4 K 3.76

Output
Mass density   8.750 g cm⁻³
Size of the total moment   0.00 μB/f.u.
E_form   -0.3901 eV per atom
Space group   P4/mmm (123)
Electronic total energy   -2.093 eV/atom